First-principles (PBE) data for UFeCoNi after structural relaxation, as listed in Alexandria.

Structure (POSCAR):
```
UFeCoNi
1.0
3.611 0.000 0.000
0.000 3.915 0.000
0.000 0.000 3.778
Co Ni U Fe
1 1 1 1
Direct
0.000 0.000 0.000
0.500 0.000 0.500
0.500 0.500 0.000
0.000 0.500 0.500
```

Properties
D(E_F): 2.980 states/eV per cell
ΔH_f (0 K): -0.22 eV per atom
E above lowest polymorph: 0.000 eV/atom
V: 13.35 Å³ per atom

***

First-principles (PBE) data for VFeCoNi after structural relaxation, as listed in Alexandria.

Structure (POSCAR):
```
VFeCoNi
1.0
-2.700 -1.495 1.700
2.214 -2.477 1.337
0.627 2.090 2.834
Co Fe Ni V
1 1 1 1
Direct
0.500 0.500 0.000
0.500 0.000 0.500
0.000 0.000 0.000
0.000 0.500 0.500
```

Properties
D(E_F): 1.713 states/eV per cell
ΔH_f (0 K): -0.18 eV per atom
E above lowest polymorph: 0.000 eV/atom
V: 11.28 Å³ per atom

***

First-principles (PBE) data for VFeCoNi after structural relaxation, as listed in Alexandria.

Structure (POSCAR):
```
VFeCoNi
1.0
-1.595 2.619 -2.577
-3.971 0.504 -0.144
-1.638 3.396 1.352
V Fe Co Ni
1 1 1 1
Direct
0.000 0.000 0.000
0.250 0.250 0.250
0.750 0.750 0.750
0.500 0.500 0.500
```

Properties
D(E_F): 4.357 states/eV per cell
ΔH_f (0 K): -0.04 eV per atom
E above lowest polymorph: 0.140 eV/atom
V: 11.36 Å³ per atom

***

First-principles (PBE) data for V2FeCoNi after structural relaxation, as listed in Alexandria.

Structure (POSCAR):
```
V2FeCoNi
1.0
4.222 0.000 0.000
0.000 4.178 0.000
0.000 0.000 4.222
Ni Fe V Co
1 1 2 1
Direct
0.000 0.000 0.000
0.500 0.500 0.500
0.500 0.000 0.000
0.000 0.000 0.500
0.000 0.500 0.000
```

Properties
D(E_F): 11.969 states/eV per cell
ΔH_f (0 K): 1.28 eV per atom
V: 14.89 Å³ per atom

***

First-principles (PBE) data for FeCoNiW after structural relaxation, as listed in Alexandria.

Structure (POSCAR):
```
FeCoNiW
1.0
4.084 0.000 0.000
2.042 3.537 0.000
2.042 1.179 3.334
W Fe Ni Co
1 1 1 1
Direct
0.750 0.750 0.750
0.000 0.000 0.000
0.250 0.250 0.250
0.500 0.500 0.500
```

Properties
D(E_F): 4.082 states/eV per cell
ΔH_f (0 K): 0.10 eV per atom
V: 12.04 Å³ per atom

***

First-principles (PBE) data for YFe2CoNi after structural relaxation, as listed in Alexandria.

Structure (POSCAR):
```
YFe2CoNi
1.0
4.264 0.000 0.000
0.000 4.874 0.000
0.000 0.000 4.264
Co Y Fe Ni
1 1 2 1
Direct
0.500 0.500 0.500
0.000 0.500 0.000
0.000 0.000 0.500
0.500 0.000 0.000
0.000 0.000 0.000
```

Properties
D(E_F): 9.963 states/eV per cell
ΔH_f (0 K): 1.21 eV per atom
V: 17.72 Å³ per atom

***

First-principles (PBE) data for ZnFeCoNi after structural relaxation, as listed in Alexandria.

Structure (POSCAR):
```
ZnFeCoNi
1.0
4.054 0.000 0.000
2.027 3.511 0.000
2.027 1.170 3.310
Co Fe Ni Zn
1 1 1 1
Direct
0.750 0.750 0.750
0.000 0.000 0.000
0.250 0.250 0.250
0.500 0.500 0.500
```

Properties
D(E_F): 1.733 states/eV per cell
ΔH_f (0 K): -0.08 eV per atom
V: 11.78 Å³ per atom

***

First-principles (PBE) data for NpFe2Co after structural relaxation, as listed in Alexandria.

Structure (POSCAR):
```
NpFe2Co
1.0
4.625 0.000 1.470
2.079 4.132 1.470
-0.245 -0.151 8.780
Fe Co Np
6 3 3
Direct
0.581 0.083 0.754
0.581 0.581 0.754
0.083 0.581 0.754
0.419 0.419 0.246
0.419 0.917 0.246
0.917 0.419 0.246
0.333 0.333 0.002
0.667 0.667 0.998
0.500 0.500 0.500
0.144 0.144 0.568
0.000 0.000 0.000
0.856 0.856 0.432
```

Properties
D(E_F): 26.077 states/eV per cell
ΔH_f (0 K): 0.01 eV per atom
E above lowest polymorph: 0.052 eV/atom
V: 14.15 Å³ per atom

***

First-principles (PBE) data for NpFe4Co after structural relaxation, as listed in Alexandria.

Structure (POSCAR):
```
NpFe4Co
1.0
-3.053 3.323 -1.862
-4.811 -0.825 0.017
-2.907 2.572 2.959
Fe Co Np
4 1 1
Direct
0.626 0.626 0.626
0.122 0.626 0.626
0.626 0.122 0.626
0.626 0.626 0.122
0.000 0.000 0.000
0.250 0.250 0.250
```

Properties
D(E_F): 12.638 states/eV per cell
ΔH_f (0 K): 0.13 eV per atom
V: 13.71 Å³ per atom

***

First-principles (PBE) data for NpFeCo after structural relaxation, as listed in Alexandria.

Structure (POSCAR):
```
NpFeCo
1.0
3.598 0.000 0.000
-1.799 3.116 0.000
0.000 0.000 8.564
Fe Co Np
2 2 2
Direct
0.333 0.667 0.416
0.667 0.333 0.584
0.667 0.333 0.920
0.333 0.667 0.080
0.333 0.667 0.747
0.667 0.333 0.253
```

Properties
D(E_F): 8.254 states/eV per cell
ΔH_f (0 K): 0.50 eV per atom
E above lowest polymorph: 0.537 eV/atom
V: 16.00 Å³ per atom

***

First-principles (PBE) data for NpFeCo after structural relaxation, as listed in Alexandria.

Structure (POSCAR):
```
NpFeCo
1.0
4.297 -0.010 -2.418
-2.812 4.049 -0.113
-0.015 0.010 4.931
Fe Np Co
2 2 2
Direct
0.000 0.500 0.000
0.500 0.500 0.500
0.750 0.872 0.122
0.250 0.128 0.878
0.000 0.500 0.500
0.500 0.000 0.500
```

Properties
D(E_F): 12.922 states/eV per cell
ΔH_f (0 K): -0.04 eV per atom
E above lowest polymorph: 0.000 eV/atom
V: 14.26 Å³ per atom

***

First-principles (PBE) data for Np2Fe2Co15 after structural relaxation, as listed in Alexandria.

Structure (POSCAR):
```
Np2Fe2Co15
1.0
-4.381 1.725 -4.085
3.108 -1.588 -5.165
-2.594 -5.618 -0.753
Fe Co Np
2 15 2
Direct
0.101 0.101 0.101
0.899 0.899 0.899
0.351 0.848 0.351
0.649 0.152 0.649
0.000 0.708 0.292
0.500 0.000 0.000
0.649 0.649 0.152
0.292 0.708 0.000
0.000 0.000 0.500
0.292 0.000 0.708
0.708 0.292 0.000
0.000 0.500 0.000
0.848 0.351 0.351
0.000 0.292 0.708
0.152 0.649 0.649
0.351 0.351 0.848
0.708 0.000 0.292
0.343 0.343 0.343
0.657 0.657 0.657
```

Properties
D(E_F): 24.350 states/eV per cell
ΔH_f (0 K): -0.04 eV per atom
V: 12.48 Å³ per atom

***

What is the D(E_F) in the ninth record?
12.638 states/eV per cell

***

Which of these has the lowest V?
number 2

***

What is the D(E_F) in the ninth record?
12.638 states/eV per cell

***

What is the formula in the eleventh record?
NpFeCo